First-principles (PBE) data for Nd3Cr5Te12 after structural relaxation, as listed in the Alexandria database.

## Properties
- total magnetic moment (μB/cell) = 60.0
- formation energy (no corrections) (eV/atom) = -0.51

The structure in CIF format:
```
data_Nd3Cr5Te12
_chemical_formula_sum 'Nd12 Cr20 Te48'
_cell_length_a 14.793
_cell_length_b 14.793
_cell_length_c 14.793
_cell_angle_alpha 109.47
_cell_angle_beta 109.47
_cell_angle_gamma 109.47
_space_group_name_H-M_alt 'P 1'
_space_group_IT_number 1
_space_group_name_Hall 'P 1'
loop_
_atom_site_label
_atom_site_fract_x
_atom_site_fract_y
_atom_site_fract_z
Nd1 0.125 0.250 0.375
Nd2 0.125 0.375 0.750
Nd3 0.250 0.375 0.125
Nd4 0.250 0.875 0.625
Nd5 0.375 0.125 0.250
Nd6 0.375 0.750 0.125
Nd7 0.625 0.250 0.875
Nd8 0.625 0.875 0.750
Nd9 0.750 0.125 0.375
Nd10 0.750 0.625 0.875
Nd11 0.875 0.625 0.250
Nd12 0.875 0.750 0.625
Cr1 0.000 0.000 0.000
Cr2 0.000 0.000 0.500
Cr3 0.000 0.500 0.000
Cr4 0.000 0.500 0.500
Cr5 0.125 0.750 0.875
Cr6 0.125 0.875 0.250
Cr7 0.250 0.125 0.875
Cr8 0.250 0.625 0.375
Cr9 0.375 0.250 0.625
Cr10 0.375 0.625 0.750
Cr11 0.500 0.000 0.000
Cr12 0.500 0.000 0.500
Cr13 0.500 0.500 0.000
Cr14 0.500 0.500 0.500
Cr15 0.625 0.375 0.250
Cr16 0.625 0.750 0.375
Cr17 0.750 0.375 0.625
Cr18 0.750 0.875 0.125
Cr19 0.875 0.125 0.750
Cr20 0.875 0.250 0.125
Te1 0.030 0.206 0.118
Te2 0.030 0.323 0.912
Te3 0.088 0.618 0.412
Te4 0.088 0.706 0.677
Te5 0.088 0.882 0.412
Te6 0.088 0.970 0.677
Te7 0.118 0.030 0.206
Te8 0.118 0.588 0.912
Te9 0.177 0.206 0.588
Te10 0.177 0.470 0.588
Te11 0.206 0.118 0.030
Te12 0.206 0.588 0.177
Te13 0.294 0.323 0.912
Te14 0.294 0.470 0.382
Te15 0.323 0.912 0.030
Te16 0.323 0.912 0.294
Te17 0.382 0.294 0.470
Te18 0.382 0.588 0.912
Te19 0.412 0.088 0.618
Te20 0.412 0.088 0.882
Te21 0.412 0.823 0.530
Te22 0.412 0.823 0.794
Te23 0.470 0.382 0.294
Te24 0.470 0.588 0.177
Te25 0.530 0.412 0.823
Te26 0.530 0.618 0.706
Te27 0.588 0.177 0.206
Te28 0.588 0.177 0.470
Te29 0.588 0.912 0.118
Te30 0.588 0.912 0.382
Te31 0.618 0.412 0.088
Te32 0.618 0.706 0.530
Te33 0.677 0.088 0.706
Te34 0.677 0.088 0.970
Te35 0.706 0.530 0.618
Te36 0.706 0.677 0.088
Te37 0.794 0.412 0.823
Te38 0.794 0.882 0.970
Te39 0.823 0.530 0.412
Te40 0.823 0.794 0.412
Te41 0.882 0.412 0.088
Te42 0.882 0.970 0.794
Te43 0.912 0.030 0.323
Te44 0.912 0.118 0.588
Te45 0.912 0.294 0.323
Te46 0.912 0.382 0.588
Te47 0.970 0.677 0.088
Te48 0.970 0.794 0.882
```

First-principles (PBE) data for ReBiH2 after structural relaxation, as listed in the Alexandria database.

## Properties
- VASP energy (eV per atom) = -5.15
- total magnetic moment (μB/cell) = 0.0

The structure in CIF format:
```
data_ReBiH2
_chemical_formula_sum 'Re2 Bi2 H4'
_cell_length_a 5.044
_cell_length_b 5.044
_cell_length_c 5.044
_cell_angle_alpha 107.83
_cell_angle_beta 107.83
_cell_angle_gamma 112.81
_space_group_name_H-M_alt 'P 1'
_space_group_IT_number 1
_space_group_name_Hall 'P 1'
loop_
_atom_site_label
_atom_site_fract_x
_atom_site_fract_y
_atom_site_fract_z
Re1 0.000 0.000 0.000
Re2 0.750 0.250 0.500
Bi1 0.250 0.750 0.500
Bi2 0.500 0.500 0.000
H1 0.010 0.625 0.885
H2 0.375 0.260 0.385
H3 0.740 0.125 0.115
H4 0.875 0.990 0.615
```

First-principles (PBE) data for EuHg5 after structural relaxation, as listed in the Alexandria database.

## Properties
- total magnetic moment (μB/cell) = 7.2
- formation energy from the elements (eV/atom) = -0.281

The structure in CIF format:
```
data_EuHg5
_chemical_formula_sum 'Eu1 Hg5'
_cell_length_a 7.374
_cell_length_b 7.374
_cell_length_c 4.834
_cell_angle_alpha 90.00
_cell_angle_beta 90.00
_cell_angle_gamma 142.49
_space_group_name_H-M_alt 'P 1'
_space_group_IT_number 1
_space_group_name_Hall 'P 1'
loop_
_atom_site_label
_atom_site_fract_x
_atom_site_fract_y
_atom_site_fract_z
Eu1 0.000 0.000 0.000
Hg1 0.167 0.833 0.500
Hg2 0.330 0.670 0.000
Hg3 0.500 0.500 0.500
Hg4 0.670 0.330 0.000
Hg5 0.833 0.167 0.500
```

Please write out number 3 again, unchanged.
First-principles (PBE) data for EuHg5 after structural relaxation, as listed in the Alexandria database.

## Properties
- total magnetic moment (μB/cell) = 7.2
- formation energy from the elements (eV/atom) = -0.281

The structure in CIF format:
```
data_EuHg5
_chemical_formula_sum 'Eu1 Hg5'
_cell_length_a 7.374
_cell_length_b 7.374
_cell_length_c 4.834
_cell_angle_alpha 90.00
_cell_angle_beta 90.00
_cell_angle_gamma 142.49
_space_group_name_H-M_alt 'P 1'
_space_group_IT_number 1
_space_group_name_Hall 'P 1'
loop_
_atom_site_label
_atom_site_fract_x
_atom_site_fract_y
_atom_site_fract_z
Eu1 0.000 0.000 0.000
Hg1 0.167 0.833 0.500
Hg2 0.330 0.670 0.000
Hg3 0.500 0.500 0.500
Hg4 0.670 0.330 0.000
Hg5 0.833 0.167 0.500
```

Repeat the first record exactly.
First-principles (PBE) data for Nd3Cr5Te12 after structural relaxation, as listed in the Alexandria database.

## Properties
- total magnetic moment (μB/cell) = 60.0
- formation energy (no corrections) (eV/atom) = -0.51

The structure in CIF format:
```
data_Nd3Cr5Te12
_chemical_formula_sum 'Nd12 Cr20 Te48'
_cell_length_a 14.793
_cell_length_b 14.793
_cell_length_c 14.793
_cell_angle_alpha 109.47
_cell_angle_beta 109.47
_cell_angle_gamma 109.47
_space_group_name_H-M_alt 'P 1'
_space_group_IT_number 1
_space_group_name_Hall 'P 1'
loop_
_atom_site_label
_atom_site_fract_x
_atom_site_fract_y
_atom_site_fract_z
Nd1 0.125 0.250 0.375
Nd2 0.125 0.375 0.750
Nd3 0.250 0.375 0.125
Nd4 0.250 0.875 0.625
Nd5 0.375 0.125 0.250
Nd6 0.375 0.750 0.125
Nd7 0.625 0.250 0.875
Nd8 0.625 0.875 0.750
Nd9 0.750 0.125 0.375
Nd10 0.750 0.625 0.875
Nd11 0.875 0.625 0.250
Nd12 0.875 0.750 0.625
Cr1 0.000 0.000 0.000
Cr2 0.000 0.000 0.500
Cr3 0.000 0.500 0.000
Cr4 0.000 0.500 0.500
Cr5 0.125 0.750 0.875
Cr6 0.125 0.875 0.250
Cr7 0.250 0.125 0.875
Cr8 0.250 0.625 0.375
Cr9 0.375 0.250 0.625
Cr10 0.375 0.625 0.750
Cr11 0.500 0.000 0.000
Cr12 0.500 0.000 0.500
Cr13 0.500 0.500 0.000
Cr14 0.500 0.500 0.500
Cr15 0.625 0.375 0.250
Cr16 0.625 0.750 0.375
Cr17 0.750 0.375 0.625
Cr18 0.750 0.875 0.125
Cr19 0.875 0.125 0.750
Cr20 0.875 0.250 0.125
Te1 0.030 0.206 0.118
Te2 0.030 0.323 0.912
Te3 0.088 0.618 0.412
Te4 0.088 0.706 0.677
Te5 0.088 0.882 0.412
Te6 0.088 0.970 0.677
Te7 0.118 0.030 0.206
Te8 0.118 0.588 0.912
Te9 0.177 0.206 0.588
Te10 0.177 0.470 0.588
Te11 0.206 0.118 0.030
Te12 0.206 0.588 0.177
Te13 0.294 0.323 0.912
Te14 0.294 0.470 0.382
Te15 0.323 0.912 0.030
Te16 0.323 0.912 0.294
Te17 0.382 0.294 0.470
Te18 0.382 0.588 0.912
Te19 0.412 0.088 0.618
Te20 0.412 0.088 0.882
Te21 0.412 0.823 0.530
Te22 0.412 0.823 0.794
Te23 0.470 0.382 0.294
Te24 0.470 0.588 0.177
Te25 0.530 0.412 0.823
Te26 0.530 0.618 0.706
Te27 0.588 0.177 0.206
Te28 0.588 0.177 0.470
Te29 0.588 0.912 0.118
Te30 0.588 0.912 0.382
Te31 0.618 0.412 0.088
Te32 0.618 0.706 0.530
Te33 0.677 0.088 0.706
Te34 0.677 0.088 0.970
Te35 0.706 0.530 0.618
Te36 0.706 0.677 0.088
Te37 0.794 0.412 0.823
Te38 0.794 0.882 0.970
Te39 0.823 0.530 0.412
Te40 0.823 0.794 0.412
Te41 0.882 0.412 0.088
Te42 0.882 0.970 0.794
Te43 0.912 0.030 0.323
Te44 0.912 0.118 0.588
Te45 0.912 0.294 0.323
Te46 0.912 0.382 0.588
Te47 0.970 0.677 0.088
Te48 0.970 0.794 0.882
```

What did the second record say?
First-principles (PBE) data for ReBiH2 after structural relaxation, as listed in the Alexandria database.

## Properties
- VASP energy (eV per atom) = -5.15
- total magnetic moment (μB/cell) = 0.0

The structure in CIF format:
```
data_ReBiH2
_chemical_formula_sum 'Re2 Bi2 H4'
_cell_length_a 5.044
_cell_length_b 5.044
_cell_length_c 5.044
_cell_angle_alpha 107.83
_cell_angle_beta 107.83
_cell_angle_gamma 112.81
_space_group_name_H-M_alt 'P 1'
_space_group_IT_number 1
_space_group_name_Hall 'P 1'
loop_
_atom_site_label
_atom_site_fract_x
_atom_site_fract_y
_atom_site_fract_z
Re1 0.000 0.000 0.000
Re2 0.750 0.250 0.500
Bi1 0.250 0.750 0.500
Bi2 0.500 0.500 0.000
H1 0.010 0.625 0.885
H2 0.375 0.260 0.385
H3 0.740 0.125 0.115
H4 0.875 0.990 0.615
```